# Li3CdRh

A relaxed structure of Li3CdRh (PBE, Alexandria via LeMat-Bulk).

Computed properties:
Relative energy among the computed polymorphs (meV/atom): 196
E_form (eV/atom): 0.069
Total magnetization (μB/atom): 0.00

Unit cell a=5.0697 b=5.0697 c=16.7949 alpha=90.00 beta=90.00 gamma=90.00
Last column: nearest neighbours and their distance in Å.
Space group I-4m2 (No. 119)
Inequivalent atoms, fractional coordinates:
Li  0.0000  0.0000  0.2098 (multiplicity 4)  2 Rh 2.62
Li  0.0000  0.2508  0.3737 (multiplicity 8)  2 Rh 2.43-2.47, 2 Li 2.53-2.54
Cd  0.0000  0.5000  0.5490 (multiplicity 4)  2 Rh 2.67
Rh  0.0000  0.0000  0.5000 (multiplicity 2)  4 Li 2.47, 4 Cd 2.67
Rh  0.0000  0.5000  0.2500 (multiplicity 2)  8 Li 2.43-2.62

***

# In2ReBr

A relaxed structure of In2ReBr (PBE, Alexandria via LeMat-Bulk).

Computed properties:
Relative energy among the computed polymorphs (meV/atom): 691
Total magnetization (μB/atom): 0.27
ΔE_f (raw) (kJ/mol of atoms): 97.6

Unit cell a=4.2903 b=4.2903 c=9.3322 alpha=90.00 beta=90.00 gamma=90.00
Last column: nearest neighbours and their distance in Å.
Space group I-4m2 (No. 119)
Inequivalent atoms, fractional coordinates:
In  0.0000  0.0000  0.0000 (multiplicity 2)  4 Br 3.03, 4 In 3.17, 4 Re 3.17
In  0.0000  0.5000  0.2500 (multiplicity 2)  4 Re 3.03, 4 In 3.17, 4 Br 3.17
Re  0.0000  0.5000  0.7500 (multiplicity 2)  8 In 3.03-3.17, 4 Br 3.17
Br  0.0000  0.0000  0.5000 (multiplicity 2)  8 In 3.03-3.17, 4 Re 3.17